Material: LiTh3Mn
Method: DFT, PBE-GGA
State: optimized geometry

Space-group type: Pm-3m (221)
DFT formation energy in meV/atom: 167

a b c (Å): 5.2464 5.2464 5.2464
angles (deg): 90.00 90.00 90.00
Atoms (fractional coordinates):
Mn: 0.0000 0.0000 0.0000
Th: 0.0000 0.5000 0.0000
Th: 0.0000 0.0000 0.5000
Th: 0.5000 0.0000 0.0000
Li: 0.5000 0.5000 0.5000